! CuNi6Sb2 (PBE-GGA, relaxed); values from VASP
! Calculated volume in Å³/cell: 124.1
! Energy relative to the elements, uncorrected in eV per atom: 0.0503
&SYSTEM
  ibrav = 0, nat = 9, ntyp = 3
/
ATOMIC_SPECIES
Cu 63.55 Cu.upf
Ni 58.69 Ni.upf
Sb 121.76 Sb.upf
CELL_PARAMETERS angstrom
4.453 -2.457 0.000
4.453 2.457 0.000
-0.995 0.000 5.670
ATOMIC_POSITIONS crystal
Cu 0.000 0.000 0.000
Ni 0.179 0.661 0.307
Ni 0.180 0.180 0.378
Ni 0.339 0.821 0.693
Ni 0.661 0.179 0.307
Ni 0.820 0.820 0.622
Ni 0.821 0.339 0.693
Sb 0.337 0.337 0.816
Sb 0.663 0.663 0.184